Below is a geometry-optimized RbCaTl2Br8 structure, with properties calculated at the PBE level.

Results
- Energy relative to the elements, uncorrected: -1.037 eV per atom

a b c (Å): 7.3025 7.3025 10.2290
angles (deg): 90.00 90.00 120.00
Space group P-3 (No. 147)
Unique sites:
1 Rb 0.0000 0.0000 0.0000 (multiplicity 1)
2 Ca 0.0000 0.0000 0.5000 (multiplicity 1)
3 Tl 0.3333 0.6667 0.7422 (multiplicity 2)
4 Br 0.0323 0.7025 0.3255 (multiplicity 6)
5 Br 0.3333 0.6667 0.0035 (multiplicity 2)



Below is a geometry-optimized GaBTeN2 structure, with properties calculated at the PBE level.

Results
- Energy relative to the elements, uncorrected: 1.515 eV per atom

a b c (Å): 3.5548 3.5548 5.4225
angles (deg): 90.00 90.00 90.00
Space group P4/mmm (No. 123)
Unique sites:
1 Ga 0.0000 0.0000 0.0000 (multiplicity 1)
2 B 0.5000 0.5000 0.5000 (multiplicity 1)
3 Te 0.5000 0.5000 0.0000 (multiplicity 1)
4 N 0.0000 0.5000 0.5000 (multiplicity 2)



Below is a geometry-optimized Na4SmTm3S8 structure, with properties calculated at the PBE level.

Results
- Energy relative to the elements, uncorrected: -1.842 eV per atom

a b c (Å): 7.9351 7.9351 20.0471
angles (deg): 90.00 90.00 120.00
Space group R-3m (No. 166, hexagonal axes)
Unique sites:
1 Na 0.0000 0.0000 0.0000 (multiplicity 3)
2 Na 0.0000 0.5000 0.0000 (multiplicity 9)
3 Sm 0.0000 0.0000 0.5000 (multiplicity 3)
4 Tm 0.0000 0.5000 0.5000 (multiplicity 9)
5 S 0.0000 0.0000 0.2410 (multiplicity 6)
6 S 0.0076 0.5038 0.7579 (multiplicity 18)



Below is a geometry-optimized Ti2TeH structure, with properties calculated at the PBE level.

a b c (Å): 3.5061 10.6378 3.5405
angles (deg): 90.00 90.00 90.00
Space group Pmn2_1 (No. 31)
Unique sites:
1 Ti 0.0000 0.0749 0.0000 (multiplicity 2)
2 Ti 0.0000 0.7758 0.0055 (multiplicity 2)
3 Te 0.0000 0.3465 0.0042 (multiplicity 2)
4 H 0.0000 0.9239 0.7178 (multiplicity 2)



Below is a geometry-optimized LiBeSi2 structure, with properties calculated at the PBE level.

Results
- Energy relative to the elements, uncorrected: 0.120 eV per atom

a b c (Å): 3.5972 3.7780 7.5545
angles (deg): 90.00 90.00 90.00
Space group Cmmm (No. 65)
Unique sites:
1 Li 0.0000 0.0000 0.0000 (multiplicity 2)
2 Be 0.0000 0.0000 0.5000 (multiplicity 2)
3 Si 0.0000 0.5000 0.2789 (multiplicity 4)



Below is a geometry-optimized LaCu2As structure, with properties calculated at the PBE level.

a b c (Å): 4.1080 4.3121 4.8491
angles (deg): 90.00 90.00 90.00
Space group Pmmm (No. 47)
Unique sites:
1 La 0.0000 0.0000 0.0000 (multiplicity 1)
2 Cu 0.5000 0.5000 0.2466 (multiplicity 2)
3 As 0.5000 0.0000 0.5000 (multiplicity 1)



Below is a geometry-optimized Cu6AgPt2 structure, with properties calculated at the PBE level.

a b c (Å): 6.4632 2.6819 7.4362
angles (deg): 90.00 103.96 90.00
Space group P2/m (No. 10)
Unique sites:
1 Cu 0.0222 0.0000 0.1672 (multiplicity 2)
2 Cu 0.3220 0.5000 0.3954 (multiplicity 2)
3 Cu 0.3880 0.0000 0.7259 (multiplicity 2)
4 Ag 0.0000 0.0000 0.5000 (multiplicity 1)
5 Pt 0.3036 0.5000 0.0298 (multiplicity 2)



Below is a geometry-optimized Ho7Ga2Os2 structure, with properties calculated at the PBE level.

a b c (Å): 7.8165 10.7346 6.9756
angles (deg): 90.00 90.00 90.00
Space group Cmmm (No. 65)
Unique sites:
1 Ho 0.0000 0.0000 0.0000 (multiplicity 2)
2 Ho 0.0000 0.5000 0.2526 (multiplicity 4)
3 Ho 0.2500 0.2500 0.2600 (multiplicity 8)
4 Ga 0.1671 0.0000 0.5000 (multiplicity 4)
5 Os 0.0000 0.2969 0.0000 (multiplicity 4)



Below is a geometry-optimized CsZnInMo2 structure, with properties calculated at the PBE level.

a b c (Å): 5.2531 5.2531 5.0522
angles (deg): 90.00 90.00 90.00
Space group P4/mmm (No. 123)
Unique sites:
1 Cs 0.0000 0.0000 0.0000 (multiplicity 1)
2 Zn 0.5000 0.5000 0.0000 (multiplicity 1)
3 In 0.5000 0.5000 0.5000 (multiplicity 1)
4 Mo 0.0000 0.5000 0.5000 (multiplicity 2)



Below is a geometry-optimized In2CuSnTe structure, with properties calculated at the PBE level.

Results
- Energy relative to the elements, uncorrected: 0.009 eV per atom

a b c (Å): 5.1372 5.1372 5.1760
angles (deg): 90.00 90.00 90.00
Space group P4/mmm (No. 123)
Unique sites:
1 In 0.0000 0.5000 0.0000 (multiplicity 2)
2 Cu 0.0000 0.0000 0.0000 (multiplicity 1)
3 Sn 0.0000 0.0000 0.5000 (multiplicity 1)
4 Te 0.5000 0.5000 0.5000 (multiplicity 1)



Below is a geometry-optimized TbTm3Mg structure, with properties calculated at the PBE level.

a b c (Å): 12.6520 3.5654 12.9795
angles (deg): 90.00 93.39 90.00
Space group C2/m (No. 12)
Unique sites:
1 Tb 0.2363 0.0000 0.2693 (multiplicity 4)
2 Tm 0.0330 0.0000 0.6869 (multiplicity 4)
3 Tm 0.1331 0.5000 0.4801 (multiplicity 4)
4 Tm 0.1526 0.0000 0.9311 (multiplicity 4)
5 Mg 0.0649 0.5000 0.1201 (multiplicity 4)



Below is a geometry-optimized Ce2UPa3P6 structure, with properties calculated at the PBE level.

a b c (Å): 17.4308 3.9907 8.0098
angles (deg): 90.00 103.26 90.00
Space group C2/m (No. 12)
Unique sites:
1 Ce 0.1660 0.0000 0.3335 (multiplicity 4)
2 U 0.0000 0.5000 0.0000 (multiplicity 2)
3 Pa 0.0000 0.5000 0.5000 (multiplicity 2)
4 Pa 0.1673 0.0000 0.8352 (multiplicity 4)
5 P 0.0022 0.0000 0.7523 (multiplicity 4)
6 P 0.1651 0.5000 0.5892 (multiplicity 4)
7 P 0.1661 0.5000 0.0789 (multiplicity 4)



| no. | energy (eV/atom) |
| --- | --- |
| 1 | -2.794 |
| 2 | -4.385 |
| 3 | -5.369 |
| 4 | -6.097 |
| 5 | -4.002 |
| 6 | -4.913 |
| 7 | -4.368 |
| 8 | -5.733 |
| 9 | -3.532 |
| 10 | -3.334 |
| 11 | -3.942 |
| 12 | -8.330 |